Entry 1:
Below is crystalline Ta2TiSe6 at its relaxed geometry, with properties calculated at the GGA-PBE level.

Properties
excess energy over the best structure of this formula in the dataset	177	meV/atom
DOS(E_F)	9.3	states/eV per cell
uncorrected energy	-6.57	eV/atom
symmetry	No. 136
V	23.40	Å³ per atom

Unit cell a=6.3257 b=6.3257 c=10.5279 alpha=90.00 beta=90.00 gamma=90.00
With the nearest neighbours (Å) after each atom.
Sites, in units of the cell vectors:
Se: 0.7028 0.7028 0.6656  1 Ti 2.52, 2 Ta 2.57-2.66
Se: 0.7082 0.7082 0.0000  2 Ta 2.52, 1 Ti 2.61
Se: 0.2028 0.7972 0.8344  1 Ti 2.52, 2 Ta 2.57-2.66
Se: 0.7028 0.7028 0.3344  1 Ti 2.52, 2 Ta 2.57-2.66
Se: 0.2918 0.2918 0.0000  2 Ta 2.52, 1 Ti 2.61
Se: 0.2028 0.7972 0.1656  1 Ti 2.52, 2 Ta 2.57-2.66
Se: 0.2972 0.2972 0.3344  1 Ti 2.52, 2 Ta 2.57-2.66
Se: 0.7972 0.2028 0.1656  1 Ti 2.52, 2 Ta 2.57-2.66
Se: 0.2082 0.7918 0.5000  2 Ta 2.52, 1 Ti 2.61
Se: 0.7972 0.2028 0.8344  1 Ti 2.52, 2 Ta 2.57-2.66
Se: 0.2972 0.2972 0.6656  1 Ti 2.52, 2 Ta 2.57-2.66
Se: 0.7918 0.2082 0.5000  2 Ta 2.52, 1 Ti 2.61
Ti: 0.5000 0.5000 0.5000  6 Se 2.52-2.61
Ti: 0.0000 0.0000 0.0000  6 Se 2.52-2.61
Ta: 0.0000 0.0000 0.3383  6 Se 2.52-2.66
Ta: 0.5000 0.5000 0.8383  6 Se 2.52-2.66
Ta: 0.5000 0.5000 0.1617  6 Se 2.52-2.66
Ta: 0.0000 0.0000 0.6617  6 Se 2.52-2.66

***

Entry 2:
Below is crystalline Zr2CoCuH at its relaxed geometry, with properties calculated at the GGA-PBE level.

Properties
excess energy over the best structure of this formula in the dataset	45	meV/atom
DOS(E_F)	3.6	states/eV per cell
uncorrected energy	-6.52	eV/atom
symmetry	No. 123
V	13.96	Å³ per atom

Unit cell a=4.4517 b=4.4517 c=3.5219 alpha=90.00 beta=90.00 gamma=90.00
With the nearest neighbours (Å) after each atom.
Sites, in units of the cell vectors:
H: 0.0000 0.0000 0.0000  2 Cu 1.76
Zr: 0.5000 0.0000 0.0000  2 H 2.23
Zr: 0.0000 0.5000 0.0000  2 H 2.23
Cu: 0.0000 0.0000 0.5000  2 H 1.76
Co: 0.5000 0.5000 0.5000  8 Zr 2.84, 4 Cu 3.15